[1]
Mg5P | meta-GGA SCAN | PBEsol geometry

Properties
- density of states at the Fermi level (states/eV/cell) = 3.6
- spin magnetization (Bohr magnetons per cell) = 0.00
- ΔE_f (kJ per mole of atoms) = 36.7
- V (A^3/atom) = 23.2

abc: 5.5657 5.5657 5.1880
angles: 90.00 90.00 120.00
Sites, in units of the cell vectors:
Mg  0.0000  0.5000  0.0000
Mg  0.3333  0.6667  0.5000
Mg  0.5000  0.0000  0.0000
Mg  0.5000  0.5000  0.0000
Mg  0.6667  0.3333  0.5000
P  0.0000  0.0000  0.5000

[2]
Nd2Bi | meta-GGA SCAN | PBEsol geometry

Properties
- density of states at the Fermi level (states/eV/cell) = 6.9
- spin magnetization (Bohr magnetons per cell) = 0.01
- ΔE_f (kJ per mole of atoms) = -78.5
- V (A^3/atom) = 30.9

abc: 9.5117 9.5117 9.5117
angles: 152.32 152.32 39.55
Sites, in units of the cell vectors:
Nd  0.0000  0.5000  0.5000
Nd  0.1793  0.1793  0.0000
Nd  0.5000  0.0000  0.5000
Nd  0.8207  0.8207  0.0000
Bi  0.3613  0.3613  0.0000
Bi  0.6387  0.6387  0.0000

[3]
HfTe2Br | meta-GGA SCAN | PBEsol geometry

Properties
- density of states at the Fermi level (states/eV/cell) = 1.2
- spin magnetization (Bohr magnetons per cell) = 0.00
- energy above the lowest structure with this stoichiometry (meV per atom) = 437
- V (A^3/atom) = 23.9
- formation energy without anion corrections (eV per formula unit) = -0.62

abc: 5.1335 5.1335 5.1335
angles: 60.00 60.00 60.00
Sites, in units of the cell vectors:
Hf  0.0000  0.0000  0.0000
Te  0.2500  0.2500  0.2500
Te  0.7500  0.7500  0.7500
Br  0.5000  0.5000  0.5000

[4]
PPbI3 | meta-GGA SCAN | PBEsol geometry

Properties
- density of states at the Fermi level (states/eV/cell) = 2.8
- spin magnetization (Bohr magnetons per cell) = 0.00
- V (A^3/atom) = 32.2
- formation energy without anion corrections (eV per formula unit) = 1.01

abc: 5.4405 5.4405 5.4405
angles: 90.00 90.00 90.00
Sites, in units of the cell vectors:
P  0.0000  0.0000  0.0000
Pb  0.5000  0.5000  0.5000
I  0.0000  0.0000  0.5000
I  0.0000  0.5000  0.0000
I  0.5000  0.0000  0.0000